First-principles (PBEsol) data for AlTcPb2 after structural relaxation, as listed in Alexandria via LeMat-Bulk.

a b c (Å): 3.272 3.272 7.995
angles (deg): 90.00 90.00 90.00
Element x y z (fractional)
Pb1 0.000 0.000 0.787
Pb2 0.000 0.000 0.213
Tc1 0.500 0.500 0.000
Al1 0.500 0.500 0.500

Output
For the formation energy, the calculation gives 0.555 eV per atom.